This record from Alexandria via LeMat-Bulk describes an optimized crystal structure of Na3Y2NpS6. The functional is GGA-PBE.

Calculated values
Density of states at the Fermi level   0.68 states/eV/atom
Calculated total energy   -6.2171 eV per atom
Symmetry   C2/m
Size of the total moment   4.00 Bohr magnetons per cell

Lattice parameters (Å, degrees): 6.942 6.942 7.072 99.40 99.40 119.97
Each line ends with the local moment (μB).
Element x y z (fractional)
Na1 0.168 0.832 0.500  0.00
Na2 0.832 0.168 0.500  0.00
Na3 0.500 0.500 0.500  0.00
Y1 0.334 0.666 0.000  0.05
Y2 0.666 0.334 0.000  0.05
Np1 0.000 0.000 0.000  3.80
S1 0.924 0.588 0.772  -0.02
S2 0.741 0.741 0.229  -0.02
S3 0.076 0.412 0.228  -0.02
S4 0.588 0.924 0.772  -0.02
S5 0.259 0.259 0.771  -0.02
S6 0.412 0.076 0.228  -0.02